Below is a relaxed Pr2Tl2SbO6 crystal, with properties calculated at the PBE level.

Unit cell a=6.133 b=6.133 c=7.317 alpha=91.51 beta=91.51 gamma=120.61
Sites, in units of the cell vectors:
O1 0.007 0.295 0.645
O2 0.721 0.721 0.643
O3 0.993 0.705 0.355
O4 0.295 0.007 0.645
O5 0.705 0.993 0.355
O6 0.279 0.279 0.357
Tl1 0.850 0.150 0.000
Tl2 0.150 0.850 0.000
Sb1 0.000 0.000 0.500
Pr1 0.335 0.665 0.500
Pr2 0.665 0.335 0.500

Computed properties:
Formation energy without anion corrections in eV/atom: -1.91
Space group: C2/m, No. 12
Magnetization in Bohr magnetons per cell: 0.000
E in eV per cell: -69.20